First-principles (PBE) data for crystalline Mg2CdGa2Cu5 at its relaxed geometry, as listed in the Alexandria database.

Structure (CIF):
```
data_Mg2CdGa2Cu5
_space_group_name_H-M_alt 'P 4/m b m'
_space_group_IT_number 127
_space_group_name_Hall '-P 4 2ab'
_cell_length_a 9.0686
_cell_length_b 9.0686
_cell_length_c 3.8036
_cell_angle_alpha 90.00
_cell_angle_beta 90.00
_cell_angle_gamma 90.00
loop_
_atom_site_label
_atom_site_fract_x
_atom_site_fract_y
_atom_site_fract_z
Mg1 0.1758 0.3242 0.0000
Cd1 0.0000 0.0000 0.0000
Ga1 0.1205 0.6205 0.0000
Cu1 0.0000 0.5000 0.5000
Cu2 0.0659 0.7911 0.5000
```

Results
DOS(E_F) ... 0.211 states/eV per atom
E ... -3.1092 eV per atom